(1)
DFT (GGA-PBE) results for a relaxed structure of BaSe2Cl.

abc: 5.2800 5.2800 5.2800
angles: 67.27 67.27 67.27
Last column: nearest neighbours and their distance in Å.
Positions (direct):
Ba (0.0000, 0.0000, 0.0000)  8 Se 3.41-3.58
Se (0.2941, 0.2941, 0.2941)  1 Cl 2.51
Se (0.7059, 0.7059, 0.7059)  1 Cl 2.51
Cl (0.5000, 0.5000, 0.5000)  2 Se 2.51

formation energy from raw total energies	-3.17	eV/f.u.

(2)
DFT (GGA-PBE) results for a relaxed structure of Pr8Dy2Al.

abc: 5.5600 8.1326 9.3802
angles: 111.39 107.24 90.00
Last column: nearest neighbours and their distance in Å.
Positions (direct):
Pr (0.3952, 0.5765, 0.7904)  1 Al 3.23, 2 Dy 3.39, 2 Pr 3.49
Pr (0.6606, 0.9131, 0.3213)  1 Al 3.21, 1 Pr 3.47, 1 Dy 3.49
Pr (0.8232, 0.7798, 0.6464)  3 Dy 3.45-3.53, 7 Pr 3.47-3.71
Pr (0.9851, 0.2320, 0.9701)  2 Al 3.43, 6 Pr 3.47-3.71, 1 Dy 3.62
Pr (0.1768, 0.2202, 0.3536)  3 Dy 3.45-3.53, 7 Pr 3.47-3.71
Pr (0.3394, 0.0869, 0.6787)  1 Al 3.21, 1 Pr 3.47, 1 Dy 3.49
Pr (0.6048, 0.4235, 0.2096)  1 Al 3.23, 2 Dy 3.39, 2 Pr 3.49
Pr (0.0149, 0.7680, 0.0299)  2 Al 3.43, 6 Pr 3.47-3.71, 1 Dy 3.62
Dy (0.8081, 0.3442, 0.6162)  9 Pr 3.39-3.65
Dy (0.1919, 0.6558, 0.3838)  9 Pr 3.39-3.65
Al (0.5000, 0.0000, 0.0000)  8 Pr 3.21-3.43

calculated total energy	-4.62	eV per atom